First-principles (PBE) data for crystalline TcBIN2 at its relaxed geometry, as listed in the Alexandria database.

DOS(E_F): 3.43 states/eV/cell
M_tot: 0.00 μB per atom
E_form (uncorrected): 1.3686 eV/atom
relative energy among the computed polymorphs: 0.00 eV per formula unit

```
data_TcBIN2
_chemical_formula_sum 'Tc1 B1 I1 N2'
_cell_length_a 3.840
_cell_length_b 3.840
_cell_length_c 5.785
_cell_angle_alpha 90.00
_cell_angle_beta 90.00
_cell_angle_gamma 90.00
_symmetry_space_group_name_H-M 'P 4/m m m'
_symmetry_Int_Tables_number 123
_symmetry_space_group_name_Hall '-P 4 2'
loop_
_atom_site_label
_atom_site_fract_x
_atom_site_fract_y
_atom_site_fract_z
Tc1 0.000 0.000 0.000
B1 0.500 0.500 0.500
I1 0.000 0.000 0.500
N1 0.000 0.500 0.000
```